# PBE CuSi4Cl, relaxed
data_CuSi4Cl
_chemical_formula_sum 'Cu4 Si16 Cl4'
_cell_length_a 7.314
_cell_length_b 7.314
_cell_length_c 7.314
_cell_angle_alpha 90.00
_cell_angle_beta 90.00
_cell_angle_gamma 90.00
_symmetry_space_group_name_H-M 'F -4 3 m'
_symmetry_Int_Tables_number 216
_symmetry_space_group_name_Hall 'F -4 2 3'
loop_
_atom_site_label
_atom_site_fract_x
_atom_site_fract_y
_atom_site_fract_z
Cu1 0.000 0.000 0.000
Si1 0.124 0.124 0.624
Cl1 0.250 0.250 0.250
# * crystal system: cubic

# PBE Cu2SiCl, relaxed
data_Cu2SiCl
_chemical_formula_sum 'Cu4 Si2 Cl2'
_cell_length_a 2.931
_cell_length_b 3.155
_cell_length_c 13.717
_cell_angle_alpha 90.00
_cell_angle_beta 90.00
_cell_angle_gamma 90.00
_symmetry_space_group_name_H-M 'I m m 2'
_symmetry_Int_Tables_number 44
_symmetry_space_group_name_Hall 'I 2 -2'
loop_
_atom_site_label
_atom_site_fract_x
_atom_site_fract_y
_atom_site_fract_z
Cu1 0.000 0.000 0.000
Cu2 0.000 0.500 0.226
Si1 0.000 0.500 0.638
Cl1 0.000 0.000 0.388
# * E above lowest polymorph: 68 meV per atom
# * crystal system: orthorhombic

# PBE CuSi2Cl, relaxed
data_CuSi2Cl
_chemical_formula_sum 'Cu1 Si2 Cl1'
_cell_length_a 2.779
_cell_length_b 4.473
_cell_length_c 5.205
_cell_angle_alpha 90.00
_cell_angle_beta 90.00
_cell_angle_gamma 90.00
_symmetry_space_group_name_H-M 'P m m m'
_symmetry_Int_Tables_number 47
_symmetry_space_group_name_Hall '-P 2 2'
loop_
_atom_site_label
_atom_site_fract_x
_atom_site_fract_y
_atom_site_fract_z
Cu1 0.000 0.000 0.000
Si1 0.000 0.500 0.500
Si2 0.500 0.500 0.000
Cl1 0.500 0.000 0.500
# * E above lowest polymorph: 469 meV per atom
# * crystal system: orthorhombic

# PBE Cu2SiCl2, relaxed
data_Cu2SiCl2
_chemical_formula_sum 'Cu4 Si2 Cl4'
_cell_length_a 4.234
_cell_length_b 4.234
_cell_length_c 10.179
_cell_angle_alpha 90.00
_cell_angle_beta 90.00
_cell_angle_gamma 90.00
_symmetry_space_group_name_H-M 'I 4/m m m'
_symmetry_Int_Tables_number 139
_symmetry_space_group_name_Hall '-I 4 2'
loop_
_atom_site_label
_atom_site_fract_x
_atom_site_fract_y
_atom_site_fract_z
Cu1 0.000 0.000 0.116
Si1 0.000 0.000 0.500
Cl1 0.000 0.500 0.250
# * E above lowest polymorph: 276 meV per atom
# * crystal system: tetragonal

# PBE CuSi2Cl, relaxed
data_CuSi2Cl
_chemical_formula_sum 'Cu2 Si4 Cl2'
_cell_length_a 6.749
_cell_length_b 3.893
_cell_length_c 6.668
_cell_angle_alpha 90.00
_cell_angle_beta 110.83
_cell_angle_gamma 90.00
_symmetry_space_group_name_H-M 'C 1 2/m 1'
_symmetry_Int_Tables_number 12
_symmetry_space_group_name_Hall '-C 2y'
loop_
_atom_site_label
_atom_site_fract_x
_atom_site_fract_y
_atom_site_fract_z
Cu1 0.000 0.000 0.000
Si1 0.125 0.500 0.883
Cl1 0.000 0.500 0.500
# * E above lowest polymorph: 0 meV per atom
# * crystal system: monoclinic

# PBE CuSiCl, relaxed
data_CuSiCl
_chemical_formula_sum 'Cu2 Si2 Cl2'
_cell_length_a 3.122
_cell_length_b 3.513
_cell_length_c 10.623
_cell_angle_alpha 90.00
_cell_angle_beta 90.00
_cell_angle_gamma 90.00
_symmetry_space_group_name_H-M 'I m m 2'
_symmetry_Int_Tables_number 44
_symmetry_space_group_name_Hall 'I 2 -2'
loop_
_atom_site_label
_atom_site_fract_x
_atom_site_fract_y
_atom_site_fract_z
Cu1 0.000 0.000 0.000
Si1 0.000 0.000 0.442
Cl1 0.000 0.000 0.240
# * E above lowest polymorph: 0 meV per atom
# * crystal system: orthorhombic

| no. | uncorrected formation energy (meV/atom) |
| --- | --- |
| 1 | 562.3 |
| 2 | 71.1 |
| 3 | 439.8 |
| 4 | 374.8 |
| 5 | -29.4 |
| 6 | -132.8 |